1.
A plane-wave DFT calculation with GGA-PBE was carried out for a relaxed structure of SrPd3Se4.

## Properties
raw total energy = -4.602 eV per atom

Unit cell a=7.0886 b=7.0886 c=7.0886 alpha=90.00 beta=90.00 gamma=90.00
Positions (direct):
Pd 0.5000 0.7500 0.0000
Pd 0.0000 0.5000 0.7500
Pd 0.5000 0.2500 0.0000
Pd 0.0000 0.5000 0.2500
Pd 0.7500 0.0000 0.5000
Pd 0.2500 0.0000 0.5000
Se 0.7500 0.7500 0.7500
Se 0.2500 0.2500 0.2500
Se 0.7500 0.2500 0.7500
Se 0.7500 0.7500 0.2500
Se 0.2500 0.7500 0.2500
Se 0.7500 0.2500 0.2500
Se 0.2500 0.7500 0.7500
Se 0.2500 0.2500 0.7500
Sr 0.5000 0.5000 0.5000
Sr 0.0000 0.0000 0.0000

2.
A plane-wave DFT calculation with GGA-PBE was carried out for a relaxed structure of SrPdSe2.

## Properties
raw total energy = -4.574 eV per atom

Unit cell a=6.2692 b=6.2692 c=5.7876 alpha=90.00 beta=90.00 gamma=112.22
Positions (direct):
Se 0.8598 0.6472 0.2500
Se 0.3528 0.1402 0.2500
Se 0.1402 0.3528 0.7500
Se 0.6472 0.8598 0.7500
Sr 0.3543 0.6457 0.2500
Sr 0.6457 0.3543 0.7500
Pd 0.0000 0.0000 0.0000
Pd 0.0000 0.0000 0.5000

3.
A plane-wave DFT calculation with GGA-PBE was carried out for a relaxed structure of SrYPdSe3.

## Properties
size of the total moment = 0.02 μB/cell
ΔE to the lowest computed polymorph = 23 meV per atom

Unit cell a=7.3500 b=7.3500 c=10.4551 alpha=90.00 beta=90.00 gamma=148.16
Positions (direct):
Se 0.6410 0.3590 0.9389
Se 0.3590 0.6410 0.0611
Se 0.6410 0.3590 0.5611
Se 0.3590 0.6410 0.4389
Se 0.0868 0.9132 0.2500
Se 0.9132 0.0868 0.7500
Y 0.0000 0.0000 0.0000
Y 0.0000 0.0000 0.5000
Sr 0.7579 0.2421 0.2500
Sr 0.2421 0.7579 0.7500
Pd 0.4778 0.5222 0.2500
Pd 0.5222 0.4778 0.7500

4.
A plane-wave DFT calculation with GGA-PBE was carried out for a relaxed structure of SrYPdSe3.

## Properties
size of the total moment = 0.02 μB/cell
ΔE to the lowest computed polymorph = 0 meV per atom

Unit cell a=13.6604 b=4.1397 c=10.8063 alpha=90.00 beta=90.00 gamma=90.00
Positions (direct):
Se 0.6035 0.7500 0.3841
Se 0.1035 0.7500 0.1159
Se 0.3965 0.2500 0.6159
Se 0.1053 0.2500 0.4283
Se 0.3947 0.7500 0.9283
Se 0.8947 0.7500 0.5717
Se 0.3455 0.2500 0.2451
Se 0.8455 0.2500 0.2549
Se 0.8965 0.2500 0.8841
Se 0.6053 0.2500 0.0717
Se 0.6545 0.7500 0.7549
Se 0.1545 0.7500 0.7451
Pd 0.5021 0.2500 0.4109
Pd 0.9979 0.7500 0.9109
Pd 0.4979 0.7500 0.5891
Pd 0.0021 0.2500 0.0891
Sr 0.2725 0.7500 0.4529
Sr 0.2275 0.2500 0.9529
Sr 0.7725 0.7500 0.0471
Sr 0.7275 0.2500 0.5471
Y 0.9777 0.7500 0.3290
Y 0.0223 0.2500 0.6710
Y 0.4777 0.7500 0.1710
Y 0.5223 0.2500 0.8290